ScMnTc2 PBE relaxed; total moment = 2.26 μB/f.u.; DFT formation energy = 42 meV per atom; calculated volume = 15.4 Å³ per atom; crystal system = monoclinic; space group = No. 6; energy above the lowest structure with this stoichiometry = 73 meV per atom
1.0
-2.710 3.343 0.658
-0.681 -0.019 -2.711
-4.008 -3.239 -0.048
Tc Sc Mn
2 1 1
direct
0.500 0.257 0.238 Tc
0.000 0.018 0.021 Tc
0.500 0.764 0.742 Sc
0.000 0.461 0.499 Mn